! Rb2PaNiO4 GGA+U optimized geometry; values from VASP
&SYSTEM
  ibrav = 0, nat = 8, ntyp = 4
/
ATOMIC_SPECIES
Rb 85.47 Rb.upf
Pa 231.04 Pa.upf
Ni 58.69 Ni.upf
O 16.00 O.upf
CELL_PARAMETERS angstrom
6.441 0.000 0.000
0.000 3.507 0.000
-3.020 0.000 6.366
ATOMIC_POSITIONS crystal
Rb 0.000 0.000 0.000
Rb 0.500 0.500 0.000
Pa 0.000 0.500 0.500
Ni 0.500 0.000 0.500
O 0.170 0.000 0.709
O 0.251 0.500 0.379
O 0.749 0.500 0.621
O 0.830 0.000 0.291
! - Volume: 143.8 Å³ per cell
! - Energy: -6.2779 eV/atom
! - SG: P2/m, No. 10

=====

! PaReNiO6 GGA+U optimized geometry; values from VASP
&SYSTEM
  ibrav = 0, nat = 18, ntyp = 4
/
ATOMIC_SPECIES
Pa 231.04 Pa.upf
Re 186.21 Re.upf
Ni 58.69 Ni.upf
O 16.00 O.upf
CELL_PARAMETERS angstrom
5.446 0.000 0.000
-2.723 4.716 0.000
0.000 0.000 8.801
ATOMIC_POSITIONS crystal
Pa 0.333 0.667 0.250
Pa 0.667 0.333 0.750
Re 0.333 0.667 0.750
Re 0.667 0.333 0.250
Ni 0.000 0.000 0.000
Ni 0.000 0.000 0.500
O 0.030 0.355 0.629
O 0.030 0.675 0.871
O 0.325 0.355 0.871
O 0.325 0.970 0.629
O 0.355 0.030 0.129
O 0.355 0.325 0.371
O 0.645 0.675 0.629
O 0.645 0.970 0.871
O 0.675 0.030 0.371
O 0.675 0.645 0.129
O 0.970 0.325 0.129
O 0.970 0.645 0.371
! - Volume: 226.0 Å³ per cell
! - Energy: -8.0514 eV/atom
! - SG: P-31c, No. 163

=====

! PaNiRh2O8 GGA+U optimized geometry; values from VASP
&SYSTEM
  ibrav = 0, nat = 12, ntyp = 4
/
ATOMIC_SPECIES
Pa 231.04 Pa.upf
Ni 58.69 Ni.upf
Rh 102.91 Rh.upf
O 16.00 O.upf
CELL_PARAMETERS angstrom
-2.533 2.533 5.023
2.533 -2.533 5.023
2.533 2.533 -5.023
ATOMIC_POSITIONS crystal
Pa 0.000 0.000 0.000
Ni 0.750 0.250 0.500
Rh 0.250 0.750 0.500
Rh 0.500 0.500 0.000
O 0.134 0.129 0.521
O 0.134 0.613 0.005
O 0.387 0.392 0.521
O 0.387 0.866 0.995
O 0.608 0.129 0.995
O 0.608 0.613 0.479
O 0.871 0.392 0.005
O 0.871 0.866 0.479
! - Volume: 128.9 Å³ per cell
! - Energy: -6.7683 eV/atom
! - SG: I-4m2, No. 119

=====

! PaNiRhO6 GGA+U optimized geometry; values from VASP
&SYSTEM
  ibrav = 0, nat = 18, ntyp = 4
/
ATOMIC_SPECIES
Pa 231.04 Pa.upf
Ni 58.69 Ni.upf
Rh 102.91 Rh.upf
O 16.00 O.upf
CELL_PARAMETERS angstrom
5.365 0.000 0.000
-2.682 4.646 0.000
0.000 0.000 8.805
ATOMIC_POSITIONS crystal
Pa 0.333 0.667 0.250
Pa 0.667 0.333 0.750
Ni 0.000 0.000 0.000
Ni 0.000 0.000 0.500
Rh 0.333 0.667 0.750
Rh 0.667 0.333 0.250
O 0.024 0.350 0.626
O 0.024 0.674 0.874
O 0.326 0.350 0.874
O 0.326 0.976 0.626
O 0.350 0.024 0.126
O 0.350 0.326 0.374
O 0.650 0.674 0.626
O 0.650 0.976 0.874
O 0.674 0.024 0.374
O 0.674 0.650 0.126
O 0.976 0.326 0.126
O 0.976 0.650 0.374
! - Volume: 219.4 Å³ per cell
! - Energy: -7.1883 eV/atom
! - SG: P-31c, No. 163

=====

! PaNi2RuO8 GGA+U optimized geometry; values from VASP
&SYSTEM
  ibrav = 0, nat = 12, ntyp = 4
/
ATOMIC_SPECIES
Pa 231.04 Pa.upf
Ni 58.69 Ni.upf
Ru 101.07 Ru.upf
O 16.00 O.upf
CELL_PARAMETERS angstrom
4.672 0.000 0.000
0.000 6.486 0.000
-0.099 0.000 4.678
ATOMIC_POSITIONS crystal
Pa 0.000 0.000 0.000
Ni 0.500 0.262 0.500
Ni 0.500 0.738 0.500
Ru 0.000 0.500 0.000
O 0.198 0.279 0.805
O 0.198 0.721 0.805
O 0.285 0.500 0.287
O 0.309 0.000 0.311
O 0.691 0.000 0.689
O 0.715 0.500 0.713
O 0.802 0.279 0.195
O 0.802 0.721 0.195
! - Volume: 141.8 Å³ per cell
! - Energy: -6.8972 eV/atom
! - SG: P2/m, No. 10

=====

! PaNiRuO6 GGA+U optimized geometry; values from VASP
&SYSTEM
  ibrav = 0, nat = 18, ntyp = 4
/
ATOMIC_SPECIES
Pa 231.04 Pa.upf
Ni 58.69 Ni.upf
Ru 101.07 Ru.upf
O 16.00 O.upf
CELL_PARAMETERS angstrom
5.355 0.000 0.000
-2.678 4.638 0.000
0.000 0.000 8.782
ATOMIC_POSITIONS crystal
Pa 0.333 0.667 0.250
Pa 0.667 0.333 0.750
Ni 0.000 0.000 0.000
Ni 0.000 0.000 0.500
Ru 0.333 0.667 0.750
Ru 0.667 0.333 0.250
O 0.026 0.349 0.626
O 0.026 0.677 0.874
O 0.323 0.349 0.874
O 0.323 0.974 0.626
O 0.349 0.026 0.126
O 0.349 0.323 0.374
O 0.651 0.677 0.626
O 0.651 0.974 0.874
O 0.677 0.026 0.374
O 0.677 0.651 0.126
O 0.974 0.323 0.126
O 0.974 0.651 0.374
! - Volume: 218.1 Å³ per cell
! - Energy: -7.3648 eV/atom
! - SG: P-31c, No. 163

=====

Q: energy of number 1 (Rb2PaNiO4)?
A: -6.2779 eV/atom

=====

Q: Which of these has the highest energy?
A: Rb2PaNiO4